Ca4Al6SO16 PBEsol relaxed; formation energy without anion corrections = -2.85 eV per atom; crystal system = cubic; spin magnetization = 0.0 μB/cell
1.0
-4.544 4.544 4.544
4.544 -4.544 4.544
4.544 4.544 -4.544
Ca Al S O
4 6 1 16
Direct
0.000 0.000 0.627
0.000 0.627 0.000
0.373 0.373 0.373
0.627 0.000 0.000
0.250 0.500 0.750
0.250 0.750 0.500
0.500 0.250 0.750
0.500 0.750 0.250
0.750 0.250 0.500
0.750 0.500 0.250
0.000 0.000 0.000
0.000 0.000 0.189
0.000 0.189 0.000
0.000 0.427 0.719
0.000 0.719 0.427
0.189 0.000 0.000
0.281 0.281 0.708
0.281 0.708 0.281
0.292 0.573 0.573
0.427 0.000 0.719
0.427 0.719 0.000
0.573 0.292 0.573
0.573 0.573 0.292
0.708 0.281 0.281
0.719 0.000 0.427
0.719 0.427 0.000
0.811 0.811 0.811

=====

CaAlSeO2 PBEsol relaxed; formation energy without anion corrections = -0.01 eV per atom; crystal system = tetragonal; spin magnetization = 0.0 μB/cell
1.0
4.158 0.000 0.000
0.000 4.158 0.000
0.000 0.000 5.284
Ca Al Se O
1 1 1 2
Direct
0.000 0.000 0.000
0.500 0.500 0.000
0.000 0.000 0.500
0.000 0.500 0.500
0.500 0.000 0.500

=====

CaAl2SiO6 PBEsol relaxed; formation energy without anion corrections = -3.02 eV per atom; crystal system = monoclinic; spin magnetization = 0.0 μB/cell
1.0
9.619 0.000 0.000
0.000 8.660 0.000
-1.389 0.000 5.100
Ca Al Si O
4 8 4 24
Direct
0.232 0.062 0.486
0.232 0.438 0.986
0.768 0.562 0.014
0.768 0.938 0.514
0.038 0.152 0.832
0.038 0.348 0.332
0.244 0.661 0.486
0.244 0.839 0.986
0.756 0.161 0.014
0.756 0.339 0.514
0.962 0.652 0.668
0.962 0.848 0.168
0.464 0.153 0.188
0.464 0.347 0.688
0.536 0.653 0.312
0.536 0.847 0.812
0.116 0.227 0.141
0.116 0.273 0.641
0.117 0.525 0.293
0.117 0.975 0.793
0.154 0.669 0.764
0.154 0.831 0.264
0.361 0.666 0.224
0.361 0.834 0.724
0.387 0.512 0.682
0.387 0.988 0.182
0.403 0.243 0.904
0.403 0.257 0.404
0.597 0.743 0.596
0.597 0.757 0.096
0.613 0.012 0.818
0.613 0.488 0.318
0.639 0.166 0.276
0.639 0.334 0.776
0.846 0.169 0.736
0.846 0.331 0.236
0.883 0.025 0.207
0.883 0.475 0.707
0.884 0.727 0.359
0.884 0.773 0.859

=====

CaAl2SiO6 PBEsol relaxed; formation energy without anion corrections = -3.02 eV per atom; crystal system = monoclinic; spin magnetization = 0.0 μB/cell
1.0
4.830 -4.314 0.000
4.830 4.314 0.000
-1.449 0.000 5.067
Ca Al Si O
2 4 2 12
Direct
0.186 0.814 0.500
0.814 0.186 0.000
0.419 0.597 0.022
0.597 0.419 0.522
0.698 0.896 0.469
0.896 0.698 0.969
0.126 0.320 0.544
0.320 0.126 0.044
0.150 0.593 0.082
0.151 0.173 0.773
0.173 0.151 0.273
0.308 0.489 0.636
0.399 0.881 0.963
0.489 0.308 0.136
0.532 0.680 0.385
0.593 0.150 0.582
0.680 0.532 0.885
0.849 0.901 0.232
0.881 0.399 0.463
0.901 0.849 0.732

=====

CaSmAl3O7 PBEsol relaxed; formation energy without anion corrections = -3.16 eV per atom; crystal system = orthorhombic; spin magnetization = 0.0 μB/cell
1.0
5.430 -5.490 0.000
5.430 5.490 0.000
0.000 0.000 5.072
Ca Sm Al O
2 2 6 14
Direct
0.159 0.159 0.000
0.841 0.841 0.000
0.339 0.661 0.029
0.661 0.339 0.029
0.000 0.500 0.522
0.144 0.856 0.475
0.355 0.355 0.558
0.500 0.000 0.522
0.645 0.645 0.558
0.856 0.144 0.475
0.000 0.000 0.330
0.097 0.657 0.317
0.148 0.852 0.817
0.162 0.412 0.721
0.343 0.903 0.317
0.365 0.365 0.215
0.412 0.162 0.721
0.500 0.500 0.711
0.588 0.838 0.721
0.635 0.635 0.215
0.657 0.097 0.317
0.838 0.588 0.721
0.852 0.148 0.817
0.903 0.343 0.317

=====

CaTaAlO5 PBEsol relaxed; formation energy without anion corrections = -3.06 eV per atom; crystal system = monoclinic; spin magnetization = 0.0 μB/cell
1.0
6.632 0.000 0.000
0.000 8.954 0.000
-3.655 0.000 6.732
Ca Ta Al O
4 4 4 20
Direct
0.208 0.164 0.214
0.208 0.336 0.714
0.792 0.664 0.286
0.792 0.836 0.786
0.000 0.000 0.500
0.000 0.500 0.000
0.500 0.000 0.000
0.500 0.500 0.500
0.259 0.685 0.750
0.259 0.815 0.250
0.741 0.185 0.750
0.741 0.315 0.250
0.013 0.703 0.115
0.013 0.797 0.615
0.216 0.557 0.903
0.216 0.943 0.403
0.257 0.077 0.746
0.257 0.423 0.246
0.260 0.564 0.568
0.260 0.936 0.068
0.499 0.698 0.380
0.499 0.802 0.880
0.501 0.198 0.120
0.501 0.302 0.620
0.740 0.064 0.932
0.740 0.436 0.432
0.743 0.577 0.754
0.743 0.923 0.254
0.784 0.057 0.597
0.784 0.443 0.097
0.987 0.203 0.385
0.987 0.297 0.885

=====

CaTaAlO5 PBEsol relaxed; formation energy without anion corrections = -3.06 eV per atom; crystal system = monoclinic; spin magnetization = 0.0 μB/cell
1.0
3.354 -4.468 0.000
3.354 4.468 0.000
-3.048 0.000 6.715
Ca Ta Al O
2 2 2 10
Direct
0.167 0.833 0.750
0.833 0.167 0.250
0.500 0.500 0.000
0.500 0.500 0.500
0.184 0.816 0.250
0.816 0.184 0.750
0.133 0.248 0.914
0.191 0.598 0.387
0.248 0.133 0.414
0.402 0.809 0.113
0.425 0.575 0.750
0.575 0.425 0.250
0.598 0.191 0.887
0.752 0.867 0.586
0.809 0.402 0.613
0.867 0.752 0.086

=====

Ca2AlVO5 PBEsol relaxed; formation energy without anion corrections = -2.86 eV per atom; crystal system = orthorhombic; spin magnetization = 3.8 μB/cell
1.0
-7.135 2.801 2.652
7.135 -2.801 2.652
7.135 2.801 -2.652
Ca Al V O
4 2 2 10
Direct
0.032 0.109 0.141
0.032 0.391 0.424
0.968 0.609 0.576
0.968 0.891 0.859
0.459 0.786 0.173
0.612 0.286 0.827
0.489 0.489 0.000
0.489 0.989 0.500
0.013 0.619 0.894
0.398 0.112 0.575
0.398 0.323 0.786
0.495 0.227 0.239
0.495 0.756 0.767
0.537 0.612 0.214
0.537 0.823 0.425
0.725 0.119 0.106
0.989 0.256 0.761
0.989 0.727 0.233

=====

CaYAl3O7 PBEsol relaxed; formation energy without anion corrections = -3.16 eV per atom; crystal system = orthorhombic; spin magnetization = 0.0 μB/cell
1.0
5.429 -5.436 0.000
5.429 5.436 0.000
0.000 0.000 5.035
Ca Y Al O
2 2 6 14
Direct
0.160 0.840 0.000
0.840 0.160 0.000
0.340 0.340 0.034
0.660 0.660 0.034
0.000 0.500 0.517
0.147 0.147 0.474
0.356 0.644 0.559
0.500 0.000 0.517
0.644 0.356 0.559
0.853 0.853 0.474
0.000 0.000 0.334
0.101 0.345 0.310
0.154 0.154 0.818
0.161 0.590 0.720
0.345 0.101 0.310
0.369 0.631 0.214
0.410 0.839 0.720
0.500 0.500 0.721
0.590 0.161 0.720
0.631 0.369 0.214
0.655 0.899 0.310
0.839 0.410 0.720
0.846 0.846 0.818
0.899 0.655 0.310

=====

CaYAl3O7 PBEsol relaxed; formation energy without anion corrections = -3.17 eV per atom; crystal system = monoclinic; spin magnetization = 0.0 μB/cell
1.0
5.037 0.000 0.000
0.000 7.665 0.000
-0.114 0.000 7.685
Ca Y Al O
2 2 6 14
Direct
0.025 0.000 0.081
0.975 0.500 0.919
0.005 0.682 0.405
0.995 0.182 0.595
0.455 0.487 0.602
0.464 0.198 0.890
0.498 0.341 0.260
0.502 0.841 0.740
0.536 0.698 0.110
0.545 0.987 0.398
0.193 0.701 0.128
0.200 0.986 0.404
0.271 0.422 0.413
0.296 0.008 0.818
0.301 0.691 0.627
0.305 0.353 0.756
0.325 0.233 0.094
0.675 0.733 0.906
0.695 0.853 0.244
0.699 0.191 0.373
0.704 0.508 0.182
0.729 0.922 0.587
0.800 0.486 0.596
0.807 0.201 0.872

=====

Ca14Al12Zn4O35 PBEsol relaxed; formation energy without anion corrections = -2.82 eV per atom; crystal system = cubic; spin magnetization = 0.0 μB/cell
1.0
0.000 7.420 7.420
7.420 0.000 7.420
7.420 7.420 0.000
Ca Al Zn O
14 12 4 35
Direct
0.162 0.613 0.613
0.218 0.218 0.782
0.218 0.782 0.218
0.218 0.782 0.782
0.386 0.386 0.386
0.386 0.386 0.842
0.386 0.842 0.386
0.613 0.162 0.613
0.613 0.613 0.162
0.613 0.613 0.613
0.782 0.218 0.218
0.782 0.218 0.782
0.782 0.782 0.218
0.842 0.386 0.386
0.000 0.000 0.000
0.415 0.862 0.862
0.500 0.500 0.500
0.506 0.506 0.994
0.506 0.994 0.506
0.506 0.994 0.994
0.862 0.415 0.862
0.862 0.862 0.415
0.862 0.862 0.862
0.994 0.506 0.506
0.994 0.506 0.994
0.994 0.994 0.506
0.172 0.172 0.172
0.172 0.172 0.484
0.172 0.484 0.172
0.484 0.172 0.172
0.013 0.468 0.685
0.013 0.685 0.834
0.013 0.834 0.468
0.155 0.338 0.958
0.155 0.549 0.338
0.155 0.958 0.549
0.206 0.931 0.931
0.250 0.250 0.250
0.338 0.155 0.549
0.338 0.549 0.958
0.338 0.958 0.155
0.370 0.370 0.630
0.370 0.630 0.370
0.370 0.630 0.630
0.468 0.013 0.834
0.468 0.685 0.013
0.468 0.834 0.685
0.549 0.155 0.958
0.549 0.338 0.155
0.549 0.958 0.338
0.630 0.370 0.370
0.630 0.370 0.630
0.630 0.630 0.370
0.685 0.013 0.468
0.685 0.468 0.834
0.685 0.834 0.013
0.834 0.013 0.685
0.834 0.468 0.013
0.834 0.685 0.468
0.931 0.206 0.931
0.931 0.931 0.206
0.931 0.931 0.931
0.958 0.155 0.338
0.958 0.338 0.549
0.958 0.549 0.155

=====

CaAlOs2 PBEsol relaxed; crystal system = orthorhombic; energy of formation from the pure elements = 0.423 eV/atom; spin magnetization = 0.0 μB/cell
1.0
3.012 0.000 0.000
0.000 4.392 0.000
0.000 0.000 4.787
Ca Al Os
1 1 2
Direct
0.000 0.000 0.000
0.500 0.000 0.500
0.000 0.500 0.500
0.500 0.500 0.000

=====

CaAlOs2 PBEsol relaxed; crystal system = tetragonal; energy of formation from the pure elements = 0.531 eV/atom; spin magnetization = 0.0 μB/cell
1.0
-2.006 2.006 4.001
2.006 -2.006 4.001
2.006 2.006 -4.001
Ca Al Os
1 1 2
Direct
0.000 0.000 0.000
0.500 0.500 0.000
0.250 0.750 0.500
0.750 0.250 0.500

=====

CaAl2Os PBEsol relaxed; crystal system = cubic; energy of formation from the pure elements = -0.116 eV/atom; spin magnetization = 0.0 μB/cell
1.0
0.000 3.198 3.198
3.198 0.000 3.198
3.198 3.198 0.000
Ca Al Os
1 2 1
Direct
0.000 0.000 0.000
0.250 0.250 0.250
0.750 0.750 0.750
0.500 0.500 0.500

=====

CaAlOs2 PBEsol relaxed; crystal system = monoclinic; energy of formation from the pure elements = 0.422 eV/atom; spin magnetization = 0.0 μB/cell
1.0
2.853 -4.453 0.000
2.853 4.453 0.000
-1.121 0.000 2.487
Ca Al Os
1 1 2
Direct
0.000 0.000 0.000
0.500 0.500 0.000
0.000 0.500 0.500
0.500 0.000 0.500